An optimized crystal structure of Ba7Tl3O2. Source: Alexandria via LeMat-Bulk, functional PBE-GGA.

Cell and atoms, written as POSCAR:
```
Ba7Tl3O2
1.0
2.775 -13.485 0.000
2.775 13.485 0.000
0.000 0.000 5.581
Ba Tl O
7 3 2
direct
0.000 0.000 0.000
0.104 0.896 0.500
0.204 0.796 0.000
0.400 0.600 0.000
0.600 0.400 0.000
0.796 0.204 0.000
0.896 0.104 0.500
0.296 0.704 0.500
0.500 0.500 0.500
0.704 0.296 0.500
0.104 0.896 0.000
0.896 0.104 0.000
```

Properties
**Volume**: 418 Å³ per cell
**Crystal system**: orthorhombic
**Space group**: Cmmm (65)
**Formation energy without anion corrections**: -12.5 eV/f.u.